Here is a relaxed structure of BaPbS2O8 from Alexandria. Energies are from GGA-PBEsol.

Cell: 5.4344 6.9714 8.6288 Å, 90.00 90.00 90.00°
Last column: nearest neighbours and their distance in Å.
Space group Pmc2_1 (No. 26)
Asymmetric unit:
Ba (0.0000, 0.0865, 0.0000) x2  8 O 2.69-2.91
Pb (0.5000, 0.4031, 0.3598) x2  10 O 2.67-2.92
S (0.0000, 0.4315, 0.6076) x2  4 O 1.46-1.51
S (0.5000, 0.0609, 0.7418) x2  4 O 1.48-1.50
O (0.0000, 0.3108, 0.7461) x2  1 S 1.46
O (0.0000, 0.3161, 0.4625) x2  1 S 1.49
O (0.2247, 0.4421, 0.1053) x4  1 S 1.51
O (0.2800, 0.0653, 0.2643) x4  1 S 1.50
O (0.5000, 0.1374, 0.5822) x2  1 S 1.48
O (0.5000, 0.2140, 0.8612) x2  1 S 1.48

Summary:
The uncorrected formation energy is -22.533 eV per formula unit. The calculation puts the density of states at the Fermi level at 0.00 states/eV per atom.